Computed, not measured: a geometry-optimized Li2LaIn2Ag structure at the PBE level of DFT.

Geometry as CIF:
```
data_Li2LaIn2Ag
_chemical_formula_sum 'Li2 La1 In2 Ag1'
_symmetry_space_group_name_H-M 'P 4/m m m'
_symmetry_Int_Tables_number 123
_symmetry_space_group_name_Hall '-P 4 2'
_cell_length_a 4.801
_cell_length_b 4.801
_cell_length_c 6.201
_cell_angle_alpha 90.00
_cell_angle_beta 90.00
_cell_angle_gamma 90.00
loop_
_atom_site_label
_atom_site_type_symbol
_atom_site_fract_x
_atom_site_fract_y
_atom_site_fract_z
Li1 Li 0.000 0.500 0.000
La1 La 0.000 0.000 0.500
In1 In 0.500 0.500 0.265
Ag1 Ag 0.000 0.000 0.000
```

Values from the calculation:
Calculated formation energy, eV/atom: -0.1861
Total energy, eV per cell: -18.2